# 1
The following is a DFT calculation (GGA-PBE) of Zr2PaN4 after structural relaxation.

```
14
Lattice="-3.299 3.300 4.663 3.299 -3.300 4.663 3.299 3.300 -4.663" Properties=species:S:1:pos:R:3 pbc="T T T"
N 0.000 0.141 7.093
N 1.791 -1.650 4.565
N 1.508 1.650 -0.098
N 3.299 -0.141 2.430
N 0.000 3.441 2.232
N 1.791 1.650 4.761
N 1.508 4.950 0.098
N 3.299 3.159 -2.430
Pa 0.000 1.650 3.497
Pa 3.299 1.650 1.166
Zr 0.000 0.000 0.000
Zr 1.649 -1.650 2.331
Zr 1.649 1.650 -2.331
Zr 0.000 3.300 0.000
```

Computed properties:
* space group: Fd-3m, No. 227
* total DFT energy (no corrections): -10.03 eV/atom



# 2
The following is a DFT calculation (GGA-PBE) of AlCdCuIr after structural relaxation.

```
4
Lattice="0.000 3.123 3.123 3.123 0.000 3.123 3.123 3.123 0.000" Properties=species:S:1:pos:R:3 pbc="T T T"
Al 0.000 0.000 0.000
Cd 3.123 3.123 3.123
Cu 4.684 4.684 4.684
Ir 1.561 1.561 1.561
```

Computed properties:
* space group: F-43m, No. 216
* excess energy over the best structure of this formula in the dataset: 0 meV/atom
* total DFT energy (no corrections): -4.46 eV/atom



# 3
The following is a DFT calculation (GGA-PBE) of LiLaAg2Sn after structural relaxation.

```
5
Lattice="-2.342 2.342 5.197 2.342 -2.342 5.197 2.342 2.342 -5.197" Properties=species:S:1:pos:R:3 pbc="T T T"
Ag 0.000 2.342 2.509
Ag 2.342 0.000 2.509
La 0.000 0.000 10.328
Li 0.000 0.000 6.598
Sn 0.000 0.000 4.043
```

Computed properties:
* space group: I4mm, No. 107
* total DFT energy (no corrections): -3.63 eV/atom



# 4
The following is a DFT calculation (GGA-PBE) of TaZnB after structural relaxation.

```
3
Lattice="0.000 2.850 2.850 2.850 0.000 2.850 2.850 2.850 0.000" Properties=species:S:1:pos:R:3 pbc="T T T"
B 1.425 1.425 1.425
Ta 0.000 0.000 0.000
Zn 4.275 4.275 4.275
```

Computed properties:
* space group: F-43m, No. 216
* total DFT energy (no corrections): -5.65 eV/atom



# 5
The following is a DFT calculation (GGA-PBE) of Ta2SnGeIr2 after structural relaxation.

```
24
Lattice="10.612 0.000 0.000 0.000 4.331 0.000 -3.544 0.000 10.014" Properties=species:S:1:pos:R:3 pbc="T T T"
Ge 7.960 0.000 0.019
Ge 0.882 2.165 1.266
Ge 4.404 0.000 2.497
Ge 0.893 0.000 4.984
Ir -0.004 0.000 0.076
Ir 3.501 2.165 1.291
Ir 7.025 0.000 2.445
Ir 0.043 2.165 3.738
Ir 3.492 0.000 4.950
Ir 7.066 2.165 6.251
Ir 0.037 0.000 7.446
Ir 3.577 2.165 8.822
Sn 7.961 2.165 3.733
Sn 4.406 2.165 6.262
Sn -2.649 0.000 7.530
Sn 0.875 2.165 8.773
Ta 2.639 0.000 0.055
Ta 6.165 2.165 1.250
Ta -0.864 0.000 2.502
Ta 2.630 2.165 3.730
Ta 6.156 0.000 4.966
Ta -0.846 2.165 6.215
Ta 2.670 0.000 7.514
Ta 6.187 2.165 8.833
```

Computed properties:
* space group: Pm, No. 6
* total DFT energy (no corrections): -8.88 eV/atom



# 6
The following is a DFT calculation (GGA-PBE) of ZnPtSeO after structural relaxation.

```
16
Lattice="6.670 0.000 0.000 0.000 7.512 0.000 0.000 0.000 5.717" Properties=species:S:1:pos:R:3 pbc="T T T"
O 0.272 1.034 0.877
O 3.607 6.478 0.877
O 3.063 1.034 3.735
O 6.398 6.478 3.735
Pt 1.458 1.141 2.481
Pt 4.793 6.371 2.481
Pt 1.877 1.141 5.339
Pt 5.212 6.371 5.339
Se 3.490 2.641 0.684
Se 0.155 4.871 0.684
Se 6.515 2.641 3.542
Se 3.180 4.871 3.542
Zn 5.928 2.572 0.246
Zn 2.593 4.940 0.246
Zn 4.077 2.572 3.104
Zn 0.742 4.940 3.104
```

Computed properties:
* space group: Pca2_1, No. 29
* excess energy over the best structure of this formula in the dataset: 217 meV/atom
* total DFT energy (no corrections): -4.23 eV/atom



# 7
The following is a DFT calculation (GGA-PBE) of AlAu after structural relaxation.

```
2
Lattice="-2.060 0.985 -2.274 1.956 -1.169 -2.279 -1.521 -2.837 0.150" Properties=species:S:1:pos:R:3 pbc="T T T"
Al 0.000 0.000 0.000
Au -0.813 -1.511 -2.201
```

Computed properties:
* space group: Pm-3m, No. 221
* total DFT energy (no corrections): -3.75 eV/atom



# 8
The following is a DFT calculation (GGA-PBE) of LaGeTe2AuS after structural relaxation.

```
12
Lattice="2.111 -7.532 0.000 2.111 7.532 0.000 0.000 0.000 10.681" Properties=species:S:1:pos:R:3 pbc="T T T"
Au 2.111 -7.197 2.670
Au 2.111 7.197 8.010
Ge 2.111 3.316 2.670
Ge 2.111 -3.316 8.010
La 2.111 0.000 0.000
La 2.111 0.000 5.340
S 2.111 -1.090 2.670
S 2.111 1.090 8.010
Te 2.111 -5.124 0.716
Te 2.111 -5.124 4.625
Te 2.111 5.124 6.056
Te 2.111 5.124 9.965
```

Computed properties:
* space group: Cmcm, No. 63
* total DFT energy (no corrections): -4.52 eV/atom



# 9
The following is a DFT calculation (GGA-PBE) of NaTcSb after structural relaxation.

```
3
Lattice="1.833 -3.165 2.857 -2.207 -1.143 3.919 -1.981 -4.176 0.414" Properties=species:S:1:pos:R:3 pbc="T T T"
Na 0.000 0.000 0.000
Sb -0.589 -2.121 1.797
Tc -1.767 -6.363 5.392
```

Computed properties:
* space group: F-43m, No. 216
* excess energy over the best structure of this formula in the dataset: 653 meV/atom
* total DFT energy (no corrections): -4.08 eV/atom



# 10
The following is a DFT calculation (GGA-PBE) of PrTaN2O after structural relaxation.

```
40
Lattice="8.017 0.000 0.000 0.000 8.110 0.000 -7.967 0.000 8.039" Properties=species:S:1:pos:R:3 pbc="T T T"
N 6.443 4.338 0.004
N 2.220 6.100 1.646
N 4.012 3.798 1.689
N -1.659 2.023 1.773
N 5.692 6.078 2.247
N 0.021 7.853 2.330
N 1.814 2.045 2.374
N -2.410 0.283 4.015
N 2.459 7.826 4.023
N -1.764 6.065 5.665
N 0.028 0.256 5.709
N -5.642 2.031 5.792
N 1.709 6.086 6.266
N -3.962 4.311 6.349
N -2.170 2.010 6.393
N -6.393 3.771 8.035
O 6.305 7.752 0.006
O 4.023 0.305 1.571
O 0.010 4.360 2.448
O -2.271 3.698 4.013
O 2.321 4.412 4.025
O 0.039 3.749 5.590
O -3.973 7.804 6.468
O -6.255 0.357 8.033
Pr 0.141 6.134 0.136
Pr 4.158 6.114 0.148
Pr -0.125 2.059 3.871
Pr 3.893 2.079 3.883
Pr -3.843 6.031 4.155
Pr 0.175 6.051 4.167
Pr -4.108 1.996 7.891
Pr -0.091 1.976 7.903
Ta 2.051 4.023 1.913
Ta 5.996 3.998 1.918
Ta -1.962 8.053 2.101
Ta 1.982 8.078 2.106
Ta -1.933 0.031 5.932
Ta 2.012 0.056 5.938
Ta -5.946 4.111 6.121
Ta -2.001 4.086 6.126
```

Computed properties:
* space group: P2_1/c, No. 14
* total DFT energy (no corrections): -9.55 eV/atom



# 11
The following is a DFT calculation (GGA-PBE) of SmGdCo after structural relaxation.

```
3
Lattice="0.000 3.375 3.375 3.375 0.000 3.375 3.375 3.375 0.000" Properties=species:S:1:pos:R:3 pbc="T T T"
Co 0.000 0.000 0.000
Gd 1.688 1.688 1.688
Sm 5.063 5.063 5.063
```

Computed properties:
* space group: F-43m, No. 216
* excess energy over the best structure of this formula in the dataset: 0 meV/atom
* formation energy: -1 kJ per mole of atoms
* total DFT energy (no corrections): -5.50 eV/atom



# 12
The following is a DFT calculation (GGA-PBE) of HoHfPd after structural relaxation.

```
3
Lattice="0.000 3.317 3.317 3.317 0.000 3.317 3.317 3.317 0.000" Properties=species:S:1:pos:R:3 pbc="T T T"
Hf 1.658 1.658 1.658
Ho 4.975 4.975 4.975
Pd 0.000 0.000 0.000
```

Computed properties:
* space group: F-43m, No. 216
* formation energy: -19 kJ per mole of atoms
* total DFT energy (no corrections): -6.76 eV/atom



# 13
The following is a DFT calculation (GGA-PBE) of ReTe4Se after structural relaxation.

```
12
Lattice="-3.053 2.067 -5.935 4.967 -5.106 -1.854 -7.175 -2.834 3.106" Properties=species:S:1:pos:R:3 pbc="T T T"
Re -1.122 -4.450 -2.881
Re -4.138 -1.422 -1.803
Se 0.509 -2.822 -2.015
Se -5.770 -3.050 -2.669
Te -0.349 -0.409 -3.431
Te -1.985 0.056 -1.005
Te 0.027 -4.558 -5.251
Te -2.621 -2.365 -3.980
Te -2.639 -3.508 -0.703
Te -5.288 -1.314 0.568
Te -3.275 -5.928 -3.679
Te -4.912 -5.463 -1.253
```

Computed properties:
* space group: P-1, No. 2
* excess energy over the best structure of this formula in the dataset: 21 meV/atom
* total DFT energy (no corrections): -4.70 eV/atom



# 14
The following is a DFT calculation (GGA-PBE) of InAgAsO after structural relaxation.

```
8
Lattice="3.920 0.000 0.000 0.000 3.920 0.000 0.000 0.000 9.383" Properties=species:S:1:pos:R:3 pbc="T T T"
Ag 0.000 0.000 4.691
Ag 1.960 1.960 4.691
As 1.960 0.000 2.788
As 0.000 1.960 6.595
In 0.000 1.960 1.035
In 1.960 0.000 8.348
O 0.000 0.000 0.000
O 1.960 1.960 0.000
```

Computed properties:
* space group: P4/nmm, No. 129
* excess energy over the best structure of this formula in the dataset: 28 meV/atom
* total DFT energy (no corrections): -4.15 eV/atom



# 15
The following is a DFT calculation (GGA-PBE) of Ho2Er5Ga after structural relaxation.

```
8
Lattice="5.417 0.000 0.000 0.000 3.487 6.047 0.000 -3.487 6.047" Properties=species:S:1:pos:R:3 pbc="T T T"
Er 0.000 1.786 5.023
Er 2.708 1.805 7.094
Er 0.000 -1.786 5.023
Er 2.708 0.000 10.085
Er 2.708 -1.805 7.094
Ga 0.000 0.000 1.985
Ho 2.708 0.000 3.958
Ho 0.000 0.000 8.117
```

Computed properties:
* space group: Amm2, No. 38
* total DFT energy (no corrections): -4.43 eV/atom



# 16
The following is a DFT calculation (GGA-PBE) of ScUCd after structural relaxation.

```
3
Lattice="0.000 3.412 3.412 3.412 0.000 3.412 3.412 3.412 0.000" Properties=species:S:1:pos:R:3 pbc="T T T"
Cd 1.706 1.706 1.706
Sc 0.000 0.000 0.000
U 5.117 5.117 5.117
```

Computed properties:
* space group: F-43m, No. 216
* excess energy over the best structure of this formula in the dataset: 0 meV/atom
* formation energy: 91 kJ per mole of atoms
* total DFT energy (no corrections): -5.23 eV/atom



# 17
The following is a DFT calculation (GGA-PBE) of Tb2AgAu3 after structural relaxation.

```
6
Lattice="-2.459 -1.180 2.587 -1.747 -2.072 -2.605 5.442 -7.051 1.957" Properties=species:S:1:pos:R:3 pbc="T T T"
Ag 4.508 -5.841 1.621
Au 0.868 -1.125 0.312
Au -0.264 -4.009 0.652
Au 1.541 -6.346 1.301
Tb -2.061 -1.680 0.006
Tb 2.705 -3.504 0.973
```

Computed properties:
* space group: P4mm, No. 99
* formation energy: -72 kJ per mole of atoms
* total DFT energy (no corrections): -4.39 eV/atom



# 18
The following is a DFT calculation (GGA-PBE) of CsPmIr after structural relaxation.

```
3
Lattice="-0.867 -4.878 0.421 3.091 -3.266 -2.121 2.963 -2.817 2.829" Properties=species:S:1:pos:R:3 pbc="T T T"
Cs 0.000 0.000 0.000
Ir 3.891 -8.221 0.847
Pm 1.297 -2.740 0.282
```

Computed properties:
* space group: F-43m, No. 216
* excess energy over the best structure of this formula in the dataset: 921 meV/atom
* total DFT energy (no corrections): -3.61 eV/atom



# 19
The following is a DFT calculation (GGA-PBE) of KAsPdO after structural relaxation.

```
8
Lattice="-2.811 -1.671 2.879 0.618 -3.964 -1.697 5.906 -1.240 5.047" Properties=species:S:1:pos:R:3 pbc="T T T"
As -0.999 -4.362 1.438
As 4.712 -2.513 4.790
K 1.000 -2.864 4.258
K 2.714 -4.011 1.970
O -1.954 -2.244 1.735
O -0.239 -3.391 -0.553
Pd 0.657 -1.662 1.325
Pd 3.057 -5.213 4.903
```

Computed properties:
* space group: P4/nmm, No. 129
* excess energy over the best structure of this formula in the dataset: 666 meV/atom
* total DFT energy (no corrections): -3.79 eV/atom



# 20
The following is a DFT calculation (GGA-PBE) of TbZrCSe after structural relaxation.

```
8
Lattice="-1.079 0.400 -3.406 2.864 -2.040 0.751 -7.794 -10.487 1.239" Properties=species:S:1:pos:R:3 pbc="T T T"
C -3.816 -5.134 0.607
C -7.713 -10.378 1.226
Se -1.780 -3.125 -1.700
Se -4.363 -9.182 0.305
Tb 0.774 -2.270 -0.512
Tb -4.437 -6.700 -1.278
Zr -1.587 -5.446 -0.136
Zr -6.798 -9.876 -0.902
```

Computed properties:
* space group: P6_3mc, No. 186
* excess energy over the best structure of this formula in the dataset: 0 meV/atom
* total DFT energy (no corrections): -7.61 eV/atom